Entry 1:
The following is a DFT calculation (PBE) of a relaxed BaMgPt2 crystal.

Cell: 5.2208 5.2208 5.2208 Å, 127.16 111.47 91.71°
Sites, in units of the cell vectors:
Pt1 0.0600 0.0600 0.0000
Ba1 0.7500 0.2500 0.5000
Mg1 0.2500 0.7500 0.5000
Pt2 0.4400 0.4400 0.0000

Results
- Symmetry: Immm, No. 71
- Crystal system: orthorhombic
- Energy of formation: -0.42 eV/atom
- N(E_F): 1.6 states/eV per cell

=====

Entry 2:
The following is a DFT calculation (PBE) of a relaxed SbSeI2N crystal.

Cell: 6.1518 6.1518 3.7062 Å, 90.00 90.00 90.00°
Sites, in units of the cell vectors:
N1 0.0000 0.0000 0.5000
Sb1 0.5000 0.5000 0.5000
I1 0.0000 0.5000 0.0000
I2 0.5000 0.0000 0.0000
Se1 0.0000 0.0000 0.0000

Results
- Symmetry: P4/mmm, No. 123
- Crystal system: tetragonal
- E_form (uncorrected): 0.88 eV/atom
- Excess energy over the best structure of this formula in the dataset: 0 meV per atom
- N(E_F): 4.4 states/eV per cell

=====

Entry 3:
The following is a DFT calculation (PBE) of a relaxed Tm2AgIr crystal.

Cell: 4.9057 4.9057 4.9057 Å, 60.00 60.00 60.00°
Sites, in units of the cell vectors:
Ir1 0.5000 0.5000 0.5000
Tm1 0.7500 0.7500 0.7500
Tm2 0.2500 0.2500 0.2500
Ag1 0.0000 0.0000 0.0000

Results
- Symmetry: Fm-3m, No. 225
- Crystal system: cubic
- Excess energy over the best structure of this formula in the dataset: 8 meV per atom
- Energy of formation: -0.66 eV/atom
- N(E_F): 2.6 states/eV per cell

=====

Entry 4:
The following is a DFT calculation (PBE) of a relaxed TaSiIr2 crystal.

Cell: 8.8139 8.8139 8.8139 Å, 18.51 18.51 18.51°
Sites, in units of the cell vectors:
Si1 0.5048 0.5048 0.5048
Ir1 0.0006 0.0006 0.0006
Ir2 0.2426 0.2426 0.2426
Ta1 0.7519 0.7519 0.7519

Results
- Symmetry: R3m, No. 160
- Crystal system: trigonal
- E_form (uncorrected): -0.24 eV/atom
- N(E_F): 4.2 states/eV per cell

=====

Number 1: E_tot -17.28 eV/cell. Number 2: E_tot -14.64 eV/cell. Number 3: E_tot -23.29 eV/cell. Number 4: E_tot -35.95 eV/cell.